No. 1
# AgSb2PtI (PBE, relaxed)
# Crystal system   tetragonal
# ΔE_f (raw)   1060 meV/atom
# Distance to the lowest polymorph of the same formula   0.569 eV per atom
# Final energy   -2.68 eV/atom
data_AgSb2PtI
_chemical_formula_sum 'Ag1 Sb2 Pt1 I1'
_cell_length_a 5.320
_cell_length_b 5.320
_cell_length_c 5.391
_cell_angle_alpha 90.00
_cell_angle_beta 90.00
_cell_angle_gamma 90.00
_symmetry_space_group_name_H-M 'P 4/m m m'
_symmetry_Int_Tables_number 123
_symmetry_space_group_name_Hall '-P 4 2'
loop_
_atom_site_label
_atom_site_type_symbol
_atom_site_fract_x
_atom_site_fract_y
_atom_site_fract_z
_atom_site_occupancy
Ag1 Ag 0.000 0.000 0.000 1
Sb1 Sb 0.000 0.500 0.000 1
Pt1 Pt 0.500 0.500 0.500 1
I1 I 0.000 0.000 0.500 1

---

No. 2
# AgSb2PtI (PBE, relaxed)
# Crystal system   tetragonal
# ΔE_f (raw)   491 meV/atom
# Distance to the lowest polymorph of the same formula   0.000 eV per atom
# Final energy   -3.25 eV/atom
data_AgSb2PtI
_chemical_formula_sum 'Ag1 Sb2 Pt1 I1'
_cell_length_a 5.239
_cell_length_b 5.239
_cell_length_c 5.695
_cell_angle_alpha 90.00
_cell_angle_beta 90.00
_cell_angle_gamma 90.00
_symmetry_space_group_name_H-M 'P 4/m m m'
_symmetry_Int_Tables_number 123
_symmetry_space_group_name_Hall '-P 4 2'
loop_
_atom_site_label
_atom_site_type_symbol
_atom_site_fract_x
_atom_site_fract_y
_atom_site_fract_z
_atom_site_occupancy
Ag1 Ag 0.000 0.000 0.000 1
Sb1 Sb 0.000 0.500 0.500 1
Pt1 Pt 0.500 0.500 0.500 1
I1 I 0.500 0.500 0.000 1

---

No. 3
# AgPtSe2I (PBE, relaxed)
# Crystal system   tetragonal
# ΔE_f (raw)   423 meV/atom
# Final energy   -3.06 eV/atom
data_AgPtSe2I
_chemical_formula_sum 'Ag1 Pt1 Se2 I1'
_cell_length_a 4.949
_cell_length_b 4.949
_cell_length_c 5.710
_cell_angle_alpha 90.00
_cell_angle_beta 90.00
_cell_angle_gamma 90.00
_symmetry_space_group_name_H-M 'P 4/m m m'
_symmetry_Int_Tables_number 123
_symmetry_space_group_name_Hall '-P 4 2'
loop_
_atom_site_label
_atom_site_type_symbol
_atom_site_fract_x
_atom_site_fract_y
_atom_site_fract_z
_atom_site_occupancy
Ag1 Ag 0.000 0.000 0.000 1
Pt1 Pt 0.500 0.500 0.500 1
Se1 Se 0.000 0.500 0.500 1
I1 I 0.500 0.500 0.000 1

---

No. 4
# AgTePtI2 (PBE, relaxed)
# Crystal system   tetragonal
# ΔE_f (raw)   349 meV/atom
# Distance to the lowest polymorph of the same formula   0.000 eV per atom
# Final energy   -2.68 eV/atom
data_AgTePtI2
_chemical_formula_sum 'Ag1 Te1 Pt1 I2'
_cell_length_a 5.621
_cell_length_b 5.621
_cell_length_c 5.227
_cell_angle_alpha 90.00
_cell_angle_beta 90.00
_cell_angle_gamma 90.00
_symmetry_space_group_name_H-M 'P 4/m m m'
_symmetry_Int_Tables_number 123
_symmetry_space_group_name_Hall '-P 4 2'
loop_
_atom_site_label
_atom_site_type_symbol
_atom_site_fract_x
_atom_site_fract_y
_atom_site_fract_z
_atom_site_occupancy
Ag1 Ag 0.000 0.000 0.000 1
Te1 Te 0.500 0.500 0.000 1
Pt1 Pt 0.500 0.500 0.500 1
I1 I 0.000 0.500 0.500 1

---

No. 5
# AgTe2PtI (PBE, relaxed)
# Crystal system   tetragonal
# ΔE_f (raw)   1075 meV/atom
# Distance to the lowest polymorph of the same formula   0.641 eV per atom
# Final energy   -2.27 eV/atom
data_AgTe2PtI
_chemical_formula_sum 'Ag1 Te2 Pt1 I1'
_cell_length_a 5.415
_cell_length_b 5.415
_cell_length_c 5.384
_cell_angle_alpha 90.00
_cell_angle_beta 90.00
_cell_angle_gamma 90.00
_symmetry_space_group_name_H-M 'P 4/m m m'
_symmetry_Int_Tables_number 123
_symmetry_space_group_name_Hall '-P 4 2'
loop_
_atom_site_label
_atom_site_type_symbol
_atom_site_fract_x
_atom_site_fract_y
_atom_site_fract_z
_atom_site_occupancy
Ag1 Ag 0.000 0.000 0.000 1
Te1 Te 0.000 0.500 0.000 1
Pt1 Pt 0.500 0.500 0.500 1
I1 I 0.000 0.000 0.500 1

---

No. 6
# AgTePtI2 (PBE, relaxed)
# Crystal system   tetragonal
# ΔE_f (raw)   1020 meV/atom
# Distance to the lowest polymorph of the same formula   0.671 eV per atom
# Final energy   -2.01 eV/atom
data_AgTePtI2
_chemical_formula_sum 'Ag1 Te1 Pt1 I2'
_cell_length_a 5.472
_cell_length_b 5.472
_cell_length_c 5.564
_cell_angle_alpha 90.00
_cell_angle_beta 90.00
_cell_angle_gamma 90.00
_symmetry_space_group_name_H-M 'P 4/m m m'
_symmetry_Int_Tables_number 123
_symmetry_space_group_name_Hall '-P 4 2'
loop_
_atom_site_label
_atom_site_type_symbol
_atom_site_fract_x
_atom_site_fract_y
_atom_site_fract_z
_atom_site_occupancy
Ag1 Ag 0.000 0.000 0.000 1
Te1 Te 0.000 0.000 0.500 1
Pt1 Pt 0.500 0.500 0.500 1
I1 I 0.000 0.500 0.000 1

---

No. 7
# AgTe2PtI (PBE, relaxed)
# Crystal system   tetragonal
# ΔE_f (raw)   434 meV/atom
# Distance to the lowest polymorph of the same formula   0.000 eV per atom
# Final energy   -2.91 eV/atom
data_AgTe2PtI
_chemical_formula_sum 'Ag1 Te2 Pt1 I1'
_cell_length_a 5.330
_cell_length_b 5.330
_cell_length_c 5.599
_cell_angle_alpha 90.00
_cell_angle_beta 90.00
_cell_angle_gamma 90.00
_symmetry_space_group_name_H-M 'P 4/m m m'
_symmetry_Int_Tables_number 123
_symmetry_space_group_name_Hall '-P 4 2'
loop_
_atom_site_label
_atom_site_type_symbol
_atom_site_fract_x
_atom_site_fract_y
_atom_site_fract_z
_atom_site_occupancy
Ag1 Ag 0.000 0.000 0.000 1
Te1 Te 0.000 0.500 0.500 1
Pt1 Pt 0.500 0.500 0.500 1
I1 I 0.500 0.500 0.000 1

---

No. 8
# Tl2AgPtI6 (PBE, relaxed)
# Crystal system   trigonal
# ΔE_f (raw)   -298 meV/atom
# Final energy   -2.59 eV/atom
data_Tl2AgPtI6
_chemical_formula_sum 'Tl12 Ag6 Pt6 I36'
_cell_length_a 7.8980
_cell_length_b 7.8980
_cell_length_c 42.3197
_cell_angle_alpha 90.00
_cell_angle_beta 90.00
_cell_angle_gamma 120.00
_symmetry_space_group_name_H-M 'R -3 m'
_symmetry_Int_Tables_number 166
_symmetry_space_group_name_Hall '-R 3 2"'
loop_
_atom_site_label
_atom_site_type_symbol
_atom_site_fract_x
_atom_site_fract_y
_atom_site_fract_z
_atom_site_occupancy
Tl1 Tl 0.0000 0.0000 0.1084 1
Tl2 Tl 0.0000 0.0000 0.3108 1
Ag1 Ag 0.0000 0.0000 0.4164 1
Pt1 Pt 0.0000 0.0000 0.0000 1
Pt2 Pt 0.0000 0.0000 0.5000 1
I1 I 0.0038 0.5019 0.1291 1
I2 I 0.0062 0.5031 0.7055 1

---

No. 9
# VAg2PtI (PBE, relaxed)
# Crystal system   tetragonal
# ΔE_f (raw)   1374 meV/atom
# Final energy   -3.11 eV/atom
data_VAg2PtI
_chemical_formula_sum 'V1 Ag2 Pt1 I1'
_cell_length_a 5.279
_cell_length_b 5.279
_cell_length_c 5.094
_cell_angle_alpha 90.00
_cell_angle_beta 90.00
_cell_angle_gamma 90.00
_symmetry_space_group_name_H-M 'P 4/m m m'
_symmetry_Int_Tables_number 123
_symmetry_space_group_name_Hall '-P 4 2'
loop_
_atom_site_label
_atom_site_type_symbol
_atom_site_fract_x
_atom_site_fract_y
_atom_site_fract_z
_atom_site_occupancy
V1 V 0.000 0.000 0.000 1
Ag1 Ag 0.000 0.500 0.500 1
Pt1 Pt 0.500 0.500 0.000 1
I1 I 0.500 0.500 0.500 1

---

No. 10
# ZnAgPt2I (PBE, relaxed)
# Crystal system   tetragonal
# ΔE_f (raw)   594 meV/atom
# Final energy   -2.96 eV/atom
data_ZnAgPt2I
_chemical_formula_sum 'Zn1 Ag1 Pt2 I1'
_cell_length_a 4.736
_cell_length_b 4.736
_cell_length_c 4.885
_cell_angle_alpha 90.00
_cell_angle_beta 90.00
_cell_angle_gamma 90.00
_symmetry_space_group_name_H-M 'P 4/m m m'
_symmetry_Int_Tables_number 123
_symmetry_space_group_name_Hall '-P 4 2'
loop_
_atom_site_label
_atom_site_type_symbol
_atom_site_fract_x
_atom_site_fract_y
_atom_site_fract_z
_atom_site_occupancy
Zn1 Zn 0.000 0.000 0.000 1
Ag1 Ag 0.000 0.000 0.500 1
Pt1 Pt 0.000 0.500 0.000 1
I1 I 0.500 0.500 0.500 1

---

No. 11
# PuAgI4 (PBE, relaxed)
# Crystal system   monoclinic
# ΔE_f (raw)   -767 meV/atom
# Final energy   -4.66 eV/atom
data_PuAgI4
_chemical_formula_sum 'Pu2 Ag2 I8'
_cell_length_a 16.635
_cell_length_b 4.440
_cell_length_c 7.628
_cell_angle_alpha 90.00
_cell_angle_beta 115.88
_cell_angle_gamma 90.00
_symmetry_space_group_name_H-M 'C 1 2/m 1'
_symmetry_Int_Tables_number 12
_symmetry_space_group_name_Hall '-C 2y'
loop_
_atom_site_label
_atom_site_type_symbol
_atom_site_fract_x
_atom_site_fract_y
_atom_site_fract_z
_atom_site_occupancy
Pu1 Pu 0.000 0.000 0.000 1
Ag1 Ag 0.000 0.500 0.500 1
I1 I 0.111 0.000 0.446 1
I2 I 0.126 0.500 0.977 1

---

No. 12
# PuAg2I5 (PBE, relaxed)
# Crystal system   monoclinic
# ΔE_f (raw)   -582 meV/atom
# Final energy   -4.05 eV/atom
data_PuAg2I5
_chemical_formula_sum 'Pu2 Ag4 I10'
_cell_length_a 13.520
_cell_length_b 8.958
_cell_length_c 7.705
_cell_angle_alpha 90.00
_cell_angle_beta 120.15
_cell_angle_gamma 90.00
_symmetry_space_group_name_H-M 'C 1 m 1'
_symmetry_Int_Tables_number 8
_symmetry_space_group_name_Hall 'C -2y'
loop_
_atom_site_label
_atom_site_type_symbol
_atom_site_fract_x
_atom_site_fract_y
_atom_site_fract_z
_atom_site_occupancy
Pu1 Pu 0.000 0.000 0.000 1
Ag1 Ag 0.363 0.273 0.539 1
I1 I 0.075 0.277 0.882 1
I2 I 0.250 0.500 0.637 1
I3 I 0.259 0.000 0.352 1
I4 I 0.407 0.500 0.289 1